Entry 1:
A relaxed structure of SmDy2ErIn4. Source: Alexandria, functional PBE.

Lattice parameters (Å, degrees): 5.3256 5.3256 26.1731 90.00 90.00 120.00
With the nearest neighbours (Å) after each atom.
Space group R-3m (No. 166, hexagonal axes)
Unique sites:
Sm 0.0000 0.0000 0.0000  8 In 3.27-3.30
Dy 0.0000 0.0000 0.2495  8 In 3.23-3.31
Er 0.0000 0.0000 0.5000  8 In 3.24-3.25
In 0.0000 0.0000 0.1261  4 Dy 3.23-3.27, 3 Er 3.25, 1 Sm 3.30
In 0.0000 0.0000 0.3761  1 Er 3.24, 4 Dy 3.26-3.31, 3 Sm 3.27

=====

Entry 2:
A relaxed structure of Sm2DyErIn2. Source: Alexandria, functional PBE.

Lattice parameters (Å, degrees): 5.2292 9.9000 6.7633 90.00 90.00 90.00
With the nearest neighbours (Å) after each atom.
Space group Pmc2_1 (No. 26)
Unique sites:
Sm 0.0000 0.0374 0.0000  5 In 3.29-3.64, 4 Sm 3.46-3.52, 1 Er 3.65
Sm 0.5000 0.1810 0.2786  5 In 3.23-3.56, 2 Sm 3.52
Dy 0.5000 0.4628 0.9331  5 In 3.26-3.57, 2 Dy 3.46, 2 Er 3.51, 1 Sm 3.64
Er 0.0000 0.3213 0.6555  4 In 3.13-3.24
In 0.0000 0.3626 0.1804  2 Er 3.13-3.24, 3 Sm 3.24-3.44, 2 Dy 3.26
In 0.5000 0.1498 0.7546  2 Er 3.19, 5 Sm 3.23-3.56, 1 Dy 3.33

=====

Entry 3:
A relaxed structure of SmDyErIn. Source: Alexandria, functional PBE.

Lattice parameters (Å, degrees): 7.7218 7.7218 7.7218 90.00 90.00 90.00
With the nearest neighbours (Å) after each atom.
Space group F-43m (No. 216)
Unique sites:
Sm 0.0000 0.0000 0.0000  4 Dy 3.34, 4 Er 3.34
Dy 0.2500 0.2500 0.7500  4 In 3.34, 4 Sm 3.34
Er 0.2500 0.2500 0.2500  4 Sm 3.34, 4 In 3.34
In 0.0000 0.0000 0.5000  4 Er 3.34, 4 Dy 3.34

=====

Entry 4:
A relaxed structure of Tb5Dy2ErIn. Source: Alexandria, functional PBE.

Lattice parameters (Å, degrees): 5.3620 20.0841 10.5136 90.00 90.00 90.00
With the nearest neighbours (Å) after each atom.
Space group Cmcm (No. 63)
Unique sites:
Tb 0.0000 0.0000 0.0000  2 In 3.26, 2 Tb 3.54, 4 Dy 3.58
Tb 0.0000 0.1180 0.2500  4 Dy 3.46, 1 Er 3.53, 6 Tb 3.54-3.75
Tb 0.0000 0.2109 0.5507  1 In 3.12, 2 Tb 3.29, 2 Er 3.40, 3 Dy 3.43-3.48
Tb 0.0000 0.4872 0.2500  2 In 3.16, 2 Dy 3.39
Dy 0.0000 0.3842 0.5416  9 Tb 3.39-3.70, 1 Er 3.56
Er 0.0000 0.2937 0.2500  7 Tb 3.40-3.57, 2 In 3.48, 2 Dy 3.56
In 0.0000 0.0959 0.7500  6 Tb 3.12-3.26, 2 Er 3.48

=====

Entry 5:
A relaxed structure of Tb2Dy2Er2In. Source: Alexandria, functional PBE.

Lattice parameters (Å, degrees): 11.6377 3.5165 11.4267 90.00 112.67 90.00
With the nearest neighbours (Å) after each atom.
Space group C2/m (No. 12)
Unique sites:
Tb 0.0330 0.0000 0.2540  2 In 3.29, 3 Er 3.34-3.50, 4 Dy 3.49-3.64, 2 Tb 3.52
Dy 0.1740 0.0000 0.5847  2 Er 3.49, 4 Tb 3.49-3.64, 5 Dy 3.52-3.76
Er 0.2485 0.5000 0.8679  2 In 3.25, 3 Tb 3.34-3.50, 4 Er 3.48-3.52, 2 Dy 3.49
In 0.0000 0.5000 0.0000  4 Er 3.25, 4 Tb 3.29, 2 In 3.52

=====

Entry 6:
A relaxed structure of Tb2DyErIn4. Source: Alexandria, functional PBE.

Lattice parameters (Å, degrees): 5.3109 5.3109 26.0728 90.00 90.00 120.00
With the nearest neighbours (Å) after each atom.
Space group R-3m (No. 166, hexagonal axes)
Unique sites:
Tb 0.0000 0.0000 0.2502  8 In 3.25-3.27
Dy 0.0000 0.0000 0.5000  8 In 3.26-3.27
Er 0.0000 0.0000 0.0000  8 In 3.25
In 0.0000 0.0000 0.1247  1 Er 3.25, 4 Tb 3.25-3.27, 3 Dy 3.26
In 0.0000 0.0000 0.3747  4 Tb 3.25, 3 Er 3.25, 1 Dy 3.27

=====

Number 1: calculated formation energy -0.4639 eV/atom, final energy -4.144 eV per atom. Number 2: calculated formation energy -0.3531 eV/atom, final energy -4.366 eV per atom. Number 3: calculated formation energy -0.0980 eV/atom, final energy -4.254 eV per atom. Number 4: calculated formation energy -0.0047 eV/atom, final energy -4.411 eV per atom. Number 5: calculated formation energy -0.0244 eV/atom, final energy -4.357 eV per atom. Number 6: calculated formation energy -0.4641 eV/atom, final energy -4.137 eV per atom.